This record from Alexandria describes a geometry-optimized AcMnVO5 structure. The functional is PBE+U.

Structure (CIF):
```
data_AcMnVO5
_chemical_formula_sum 'Ac2 Mn2 V2 O10'
_cell_length_a 6.3526
_cell_length_b 6.3526
_cell_length_c 8.5290
_cell_angle_alpha 107.92
_cell_angle_beta 107.92
_cell_angle_gamma 93.22
_symmetry_space_group_name_H-M 'P 1'
_symmetry_Int_Tables_number 1
_symmetry_space_group_name_Hall 'P 1'
loop_
_atom_site_label
_atom_site_type_symbol
_atom_site_fract_x
_atom_site_fract_y
_atom_site_fract_z
Ac1 Ac 0.0000 0.0000 0.0000
Ac2 Ac 0.0000 0.0000 0.5000
Mn1 Mn 0.3259 0.6741 0.7500
Mn2 Mn 0.6741 0.3259 0.2500
V1 V 0.3713 0.6287 0.2500
V2 V 0.6287 0.3713 0.7500
O1 O 0.1185 0.8815 0.7500
O2 O 0.2582 0.7278 0.4132
O3 O 0.2722 0.7418 0.0868
O4 O 0.3245 0.3305 0.1636
O5 O 0.3305 0.3245 0.6636
O6 O 0.6695 0.6755 0.3364
O7 O 0.6755 0.6695 0.8364
O8 O 0.7278 0.2582 0.9132
O9 O 0.7418 0.2722 0.5868
O10 O 0.8815 0.1185 0.2500
```

Computed properties:
Symmetry   No. 15
Energy   -62.2 eV/f.u.
DOS at the Fermi energy   0.0 states/eV per cell
Total magnetization   10.00 Bohr magnetons per cell
Calculated volume   19.20 A^3/atom